# 1
# RbTeN2 (GGA-PBE, relaxed)
data_RbTeN2
_chemical_formula_sum 'Rb1 Te1 N2'
_cell_length_a 7.5230
_cell_length_b 7.5230
_cell_length_c 7.5230
_cell_angle_alpha 35.30
_cell_angle_beta 35.30
_cell_angle_gamma 35.30
_space_group_name_H-M_alt 'P 1'
_space_group_IT_number 1
_space_group_name_Hall 'P 1'
loop_
_atom_site_label
_atom_site_type_symbol
_atom_site_fract_x
_atom_site_fract_y
_atom_site_fract_z
_atom_site_occupancy
Rb1 Rb 0.0000 0.0000 0.0000 1
Te1 Te 0.5000 0.5000 0.5000 1
N1 N 0.4092 0.4092 0.4092 1
N2 N 0.5908 0.5908 0.5908 1
# SG = R-3m (166)
# Calculated total energy = -4.085 eV per atom
# Energy relative to the elements, uncorrected = 4.42 eV/f.u.

# 2
# NaSrP (GGA-PBE, relaxed)
data_NaSrP
_chemical_formula_sum 'Na2 Sr2 P2'
_cell_length_a 4.4608
_cell_length_b 4.4608
_cell_length_c 7.8314
_cell_angle_alpha 90.00
_cell_angle_beta 90.00
_cell_angle_gamma 90.00
_space_group_name_H-M_alt 'P 1'
_space_group_IT_number 1
_space_group_name_Hall 'P 1'
loop_
_atom_site_label
_atom_site_type_symbol
_atom_site_fract_x
_atom_site_fract_y
_atom_site_fract_z
_atom_site_occupancy
Na1 Na 0.2500 0.7500 0.0000 1
Na2 Na 0.7500 0.2500 0.0000 1
Sr1 Sr 0.2500 0.2500 0.3499 1
Sr2 Sr 0.7500 0.7500 0.6501 1
P1 P 0.2500 0.2500 0.7448 1
P2 P 0.7500 0.7500 0.2552 1
# SG = P4/nmm (129)
# Calculated total energy = -3.581 eV per atom
# ΔE_f = -0.777 eV per atom

# 3
# HfZr2TcH (GGA-PBE, relaxed)
data_HfZr2TcH
_chemical_formula_sum 'Hf1 Zr2 Tc1 H1'
_cell_length_a 4.0724
_cell_length_b 4.0724
_cell_length_c 5.0130
_cell_angle_alpha 90.00
_cell_angle_beta 90.00
_cell_angle_gamma 90.00
_space_group_name_H-M_alt 'P 1'
_space_group_IT_number 1
_space_group_name_Hall 'P 1'
loop_
_atom_site_label
_atom_site_type_symbol
_atom_site_fract_x
_atom_site_fract_y
_atom_site_fract_z
_atom_site_occupancy
Hf1 Hf 0.0000 0.0000 0.0000 1
Zr1 Zr 0.0000 0.5000 0.5000 1
Zr2 Zr 0.5000 0.0000 0.5000 1
Tc1 Tc 0.5000 0.5000 0.0000 1
H1 H 0.0000 0.0000 0.5000 1
# Energy above the lowest structure with this stoichiometry = 5.0 kJ per mole of atoms
# SG = P4/mmm (123)
# Calculated total energy = -8.212 eV per atom

# 4
# Zr2CdN (GGA-PBE, relaxed)
data_Zr2CdN
_chemical_formula_sum 'Zr2 Cd1 N1'
_cell_length_a 4.6466
_cell_length_b 4.6466
_cell_length_c 4.6466
_cell_angle_alpha 60.00
_cell_angle_beta 60.00
_cell_angle_gamma 60.00
_space_group_name_H-M_alt 'P 1'
_space_group_IT_number 1
_space_group_name_Hall 'P 1'
loop_
_atom_site_label
_atom_site_type_symbol
_atom_site_fract_x
_atom_site_fract_y
_atom_site_fract_z
_atom_site_occupancy
Zr1 Zr 0.2500 0.2500 0.2500 1
Zr2 Zr 0.7500 0.7500 0.7500 1
Cd1 Cd 0.0000 0.0000 0.0000 1
N1 N 0.5000 0.5000 0.5000 1
# Energy above the lowest structure with this stoichiometry = 145.7 kJ per mole of atoms
# SG = Fm-3m (225)
# Calculated total energy = -6.021 eV per atom
# Energy relative to the elements, uncorrected = 2.25 eV/f.u.

# 5
# PuI3N (GGA-PBE, relaxed)
data_PuI3N
_chemical_formula_sum 'Pu2 I6 N2'
_cell_length_a 6.1583
_cell_length_b 8.9896
_cell_length_c 9.5218
_cell_angle_alpha 105.55
_cell_angle_beta 105.55
_cell_angle_gamma 90.29
_space_group_name_H-M_alt 'P 1'
_space_group_IT_number 1
_space_group_name_Hall 'P 1'
loop_
_atom_site_label
_atom_site_type_symbol
_atom_site_fract_x
_atom_site_fract_y
_atom_site_fract_z
_atom_site_occupancy
Pu1 Pu 0.0024 0.2514 0.0038 1
Pu2 Pu 0.9976 0.7486 0.9962 1
I1 I 0.1003 0.0654 0.2422 1
I2 I 0.1034 0.5730 0.2428 1
I3 I 0.4942 0.7469 0.9880 1
I4 I 0.5058 0.2531 0.0120 1
I5 I 0.8966 0.4270 0.7572 1
I6 I 0.8997 0.9346 0.7578 1
N1 N 0.3046 0.1537 0.6195 1
N2 N 0.6954 0.8463 0.3805 1
# SG = P-1 (2)
# Calculated total energy = -5.269 eV per atom
# Energy relative to the elements, uncorrected = 0.96 eV/f.u.

# 6
# TaRh2Au (GGA-PBE, relaxed)
data_TaRh2Au
_chemical_formula_sum 'Ta2 Rh4 Au2'
_cell_length_a 5.7422
_cell_length_b 5.7422
_cell_length_c 5.7422
_cell_angle_alpha 103.93
_cell_angle_beta 103.93
_cell_angle_gamma 121.24
_space_group_name_H-M_alt 'P 1'
_space_group_IT_number 1
_space_group_name_Hall 'P 1'
loop_
_atom_site_label
_atom_site_type_symbol
_atom_site_fract_x
_atom_site_fract_y
_atom_site_fract_z
_atom_site_occupancy
Ta1 Ta 0.0000 0.0000 0.0000 1
Ta2 Ta 0.7500 0.2500 0.5000 1
Rh1 Rh 0.0953 0.6250 0.9703 1
Rh2 Rh 0.3750 0.3453 0.4703 1
Rh3 Rh 0.6547 0.1250 0.0297 1
Rh4 Rh 0.8750 0.9047 0.5297 1
Au1 Au 0.2500 0.7500 0.5000 1
Au2 Au 0.5000 0.5000 0.0000 1
# SG = I-42d (122)
# Calculated total energy = -7.451 eV per atom
# ΔE_f = 0.007 eV per atom

# 7
# TaS (GGA-PBE, relaxed)
data_TaS
_chemical_formula_sum 'Ta4 S4'
_cell_length_a 6.4571
_cell_length_b 5.9877
_cell_length_c 5.7683
_cell_angle_alpha 66.60
_cell_angle_beta 58.33
_cell_angle_gamma 55.07
_space_group_name_H-M_alt 'P 1'
_space_group_IT_number 1
_space_group_name_Hall 'P 1'
loop_
_atom_site_label
_atom_site_type_symbol
_atom_site_fract_x
_atom_site_fract_y
_atom_site_fract_z
_atom_site_occupancy
Ta1 Ta 0.0189 0.0189 0.7311 1
Ta2 Ta 0.2689 0.2689 0.9811 1
Ta3 Ta 0.7311 0.7311 0.0189 1
Ta4 Ta 0.9811 0.9811 0.2689 1
S1 S 0.1576 0.5924 0.5924 1
S2 S 0.4076 0.8424 0.8424 1
S3 S 0.5924 0.1576 0.1576 1
S4 S 0.8424 0.4076 0.4076 1
# SG = Fddd (70)
# Calculated total energy = -8.448 eV per atom
# Energy relative to the elements, uncorrected = -0.92 eV/f.u.

# 8
# Ce2IrRh (GGA-PBE, relaxed)
data_Ce2IrRh
_chemical_formula_sum 'Ce4 Ir2 Rh2'
_cell_length_a 5.9509
_cell_length_b 4.0455
_cell_length_c 7.7138
_cell_angle_alpha 90.00
_cell_angle_beta 108.98
_cell_angle_gamma 90.00
_space_group_name_H-M_alt 'P 1'
_space_group_IT_number 1
_space_group_name_Hall 'P 1'
loop_
_atom_site_label
_atom_site_type_symbol
_atom_site_fract_x
_atom_site_fract_y
_atom_site_fract_z
_atom_site_occupancy
Ce1 Ce 0.2238 0.2500 0.4320 1
Ce2 Ce 0.2275 0.2500 0.9310 1
Ce3 Ce 0.7725 0.7500 0.0690 1
Ce4 Ce 0.7762 0.7500 0.5680 1
Ir1 Ir 0.3091 0.7500 0.7024 1
Ir2 Ir 0.6909 0.2500 0.2976 1
Rh1 Rh 0.3028 0.7500 0.2009 1
Rh2 Rh 0.6972 0.2500 0.7991 1
# SG = P2_1/m (11)
# Calculated total energy = -7.820 eV per atom
# ΔE_f = -0.800 eV per atom